Sr2LiGaCo | GGA-PBEsol | relaxed

Cell and atoms, written as POSCAR:
```
Sr2LiGaCo
1.0
5.927 0.000 0.000
0.000 5.927 0.000
0.000 0.000 4.667
Sr Li Ga Co
2 1 1 1
direct
0.000 0.500 0.000
0.500 0.000 0.000
0.000 0.000 0.500
0.000 0.000 0.000
0.500 0.500 0.500
```

Properties
For the energy of formation from the pure elements, the calculation gives 623 meV/atom. The total moment comes out at 1.84 μB/f.u. The space group is P4/mmm, No. 123.



Al2NiSe | GGA-PBEsol | relaxed

Cell and atoms, written as POSCAR:
```
Al2NiSe
1.0
0.000 3.152 3.152
3.152 0.000 3.152
3.152 3.152 0.000
Al Ni Se
2 1 1
direct
0.000 0.000 0.000
0.250 0.250 0.250
0.500 0.500 0.500
0.750 0.750 0.750
```

Properties
The value obtained for the energy relative to the elements, uncorrected is 183 meV per atom. The total moment comes out at 0.00 μB/f.u. The space group is F-43m, No. 216.



NaSeBr2 | GGA-PBEsol | relaxed

Cell and atoms, written as POSCAR:
```
NaSeBr2
1.0
0.000 3.702 3.702
3.702 0.000 3.702
3.702 3.702 0.000
Na Se Br
1 1 2
direct
0.000 0.000 0.000
0.500 0.500 0.500
0.250 0.250 0.250
0.750 0.750 0.750
```

Properties
The value obtained for the energy relative to the elements, uncorrected is -220 meV per atom. The total moment comes out at 2.61 μB/f.u. The space group is Fm-3m, No. 225.



Ta2InW | GGA-PBEsol | relaxed

Cell and atoms, written as POSCAR:
```
Ta2InW
1.0
1.638 -2.376 0.000
1.638 2.376 0.000
0.000 0.000 9.179
Ta In W
2 1 1
direct
0.000 0.000 0.234
0.000 0.000 0.766
0.500 0.500 0.500
0.500 0.500 0.000
```

Properties
For the energy of formation from the pure elements, the calculation gives 81 meV/atom. The total moment comes out at 0.00 μB/f.u. The space group is Cmmm, No. 65.



ZnCrRe2 | GGA-PBEsol | relaxed

Cell and atoms, written as POSCAR:
```
ZnCrRe2
1.0
2.607 0.000 0.000
0.000 4.118 0.000
-1.120 0.000 5.042
Zn Cr Re
1 1 2
direct
0.000 0.000 0.000
0.500 0.000 0.500
0.287 0.500 0.748
0.713 0.500 0.252
```

Properties
For the energy of formation from the pure elements, the calculation gives 225 meV/atom. The total moment comes out at 0.00 μB/f.u. The space group is P2/m, No. 10.



Ca2CO3F2 | GGA-PBEsol | relaxed

Cell and atoms, written as POSCAR:
```
Ca2CO3F2
1.0
7.613 0.000 0.000
0.000 7.503 0.000
0.000 0.000 6.484
Ca C O F
8 4 12 8
direct
0.175 0.162 0.035
0.175 0.838 0.535
0.325 0.338 0.535
0.325 0.662 0.035
0.675 0.338 0.965
0.675 0.662 0.465
0.825 0.162 0.465
0.825 0.838 0.965
0.000 0.470 0.750
0.000 0.530 0.250
0.500 0.030 0.250
0.500 0.970 0.750
0.000 0.297 0.750
0.000 0.703 0.250
0.133 0.445 0.176
0.133 0.555 0.676
0.367 0.055 0.676
0.367 0.945 0.176
0.500 0.203 0.250
0.500 0.797 0.750
0.633 0.055 0.824
0.633 0.945 0.324
0.867 0.445 0.324
0.867 0.555 0.824
0.121 0.121 0.397
0.121 0.879 0.897
0.379 0.379 0.897
0.379 0.621 0.397
0.621 0.379 0.603
0.621 0.621 0.103
0.879 0.121 0.103
0.879 0.879 0.603
```

Properties
The value obtained for the energy relative to the elements, uncorrected is -2903 meV per atom. The total moment comes out at 0.00 μB/f.u. The space group is Pbcn, No. 60.



CuTe2IO | GGA-PBEsol | relaxed

Cell and atoms, written as POSCAR:
```
CuTe2IO
1.0
5.011 0.000 0.000
0.000 5.011 0.000
0.000 0.000 5.183
Cu Te I O
1 2 1 1
direct
0.000 0.000 0.000
0.000 0.500 0.000
0.500 0.000 0.000
0.000 0.000 0.500
0.500 0.500 0.500
```

Properties
The value obtained for the energy relative to the elements, uncorrected is 846 meV per atom. The total moment comes out at 1.47 μB/f.u. The space group is P4/mmm, No. 123.



Rb2DyAgCl6 | GGA-PBEsol | relaxed

Cell and atoms, written as POSCAR:
```
Rb2DyAgCl6
1.0
0.000 5.247 5.247
5.247 0.000 5.247
5.247 5.247 0.000
Rb Dy Ag Cl
2 1 1 6
direct
0.250 0.250 0.250
0.750 0.750 0.750
0.000 0.000 0.000
0.500 0.500 0.500
0.247 0.247 0.753
0.247 0.753 0.247
0.247 0.753 0.753
0.753 0.247 0.247
0.753 0.247 0.753
0.753 0.753 0.247
```

Properties
The value obtained for the energy relative to the elements, uncorrected is -1793 meV per atom. The total moment comes out at 0.00 μB/f.u. The space group is Fm-3m, No. 225.



We obtain total DFT energy (no corrections) values of -2.7222; -4.3648; -2.4673; -10.3917; -9.3973; -7.0917; -2.8346; -4.0319 eV per atom for the records listed above, in that order.
We obtain density of states at the Fermi level values of 8.32; 2.11; 4.38; 2.45; 3.41; 0.00; 6.16; 0.00 states/eV/cell for the records listed above, in that order.